Below is a relaxed structure of LaNdRh, with properties calculated at the PBE level.

```
6
Lattice="-2.4552 1.6326 4.0208 2.6555 -3.0902 2.8751 4.7518 4.9638 0.6754" Properties=species:S:1:pos:R:3 pbc="T T T"
La 1.6764 0.9239 2.5021
La 2.8159 1.2743 6.1387
Rh 1.0399 -0.6055 5.9967
Rh 3.4562 2.7998 2.6495
Nd 3.3602 4.7460 4.9420
Nd 5.8861 2.4127 4.3777
```

Values from the calculation:
Energy of formation   -0.501 eV per atom
Distance to the lowest polymorph of the same formula   0.018 eV/atom
Theoretical density   7.472 Mg/m³